The following is a DFT calculation (GGA-PBE) of crystalline Cs2BiH at its relaxed geometry.

Calculated values
total energy	-2.029	eV/atom
N(E_F)	5.05	states/eV/f.u.
calculated volume	187.59	Å³ per cell

Cell: 6.4255 6.4255 6.4255 Å, 60.00 60.00 60.00°
Closest atoms and distances in Å follow each position.
Sites, in units of the cell vectors:
Cs1 0.2500 0.2500 0.2500  4 H 3.93, 4 Bi 3.93
Cs2 0.7500 0.7500 0.7500  4 H 3.93, 4 Bi 3.93
Bi1 0.0000 0.0000 0.0000  8 Cs 3.93
H1 0.5000 0.5000 0.5000  8 Cs 3.93

=====

The following is a DFT calculation (GGA-PBE) of crystalline Y7TmTl4 at its relaxed geometry.

Calculated values
total energy	-4.972	eV/atom
N(E_F)	14.52	states/eV/f.u.
formation enthalpy at 0 K	-0.5	eV per formula unit
calculated volume	361.64	Å³ per cell

Cell: 8.0081 8.0081 9.8953 Å, 119.58 119.58 42.19°
Closest atoms and distances in Å follow each position.
Sites, in units of the cell vectors:
Y1 0.0000 0.0000 0.0000  2 Tm 2.88, 2 Tl 3.00
Y2 0.2411 0.2411 0.6915  4 Tl 2.99-3.15
Y3 0.2952 0.2952 0.1207  4 Tl 3.32-3.72, 5 Y 3.52-3.62
Y4 0.4324 0.4324 0.5949  3 Tl 3.20-3.26, 3 Y 3.41-3.52, 1 Tm 3.58
Y5 0.5676 0.5676 0.4051  3 Tl 3.20-3.26, 3 Y 3.41-3.52, 1 Tm 3.58
Y6 0.7048 0.7048 0.8793  4 Tl 3.32-3.72, 5 Y 3.52-3.62
Y7 0.7589 0.7589 0.3085  4 Tl 2.99-3.15
Tm1 0.5000 0.5000 0.0000  2 Y 2.88
Tl1 0.0505 0.0505 0.7178  4 Y 2.99-3.26, 1 Tl 3.26
Tl2 0.1846 0.1846 0.3368  6 Y 3.00-3.32, 1 Tl 3.26
Tl3 0.8154 0.8154 0.6632  6 Y 3.00-3.32, 1 Tl 3.26
Tl4 0.9495 0.9495 0.2822  4 Y 2.99-3.26, 1 Tl 3.26

=====

The following is a DFT calculation (GGA-PBE) of crystalline La2Hg3Au2 at its relaxed geometry.

Calculated values
total energy	-3.024	eV/atom
N(E_F)	4.04	states/eV/f.u.
formation enthalpy at 0 K	-3.9	eV per formula unit
calculated volume	181.69	Å³ per cell

Cell: 5.8140 5.8140 7.7694 Å, 90.20 90.20 43.78°
Closest atoms and distances in Å follow each position.
Sites, in units of the cell vectors:
La1 0.1155 0.1155 0.3082  5 Au 3.10-3.26, 4 Hg 3.34-3.46
La2 0.8845 0.8845 0.6918  5 Au 3.10-3.26, 4 Hg 3.34-3.46
Hg1 0.1856 0.1856 0.8645  2 Au 3.04, 4 Hg 3.14-3.32, 2 La 3.34
Hg2 0.5000 0.5000 0.0000  4 Hg 3.14, 2 Au 3.19, 4 La 3.46
Hg3 0.8144 0.8144 0.1355  2 Au 3.04, 4 Hg 3.14-3.32, 2 La 3.34
Au1 0.3975 0.3975 0.3852  1 Au 2.84, 2 Hg 3.04, 1 La 3.10
Au2 0.6025 0.6025 0.6148  1 Au 2.84, 2 Hg 3.04, 1 La 3.10